VASP calculation (PBE) on crystalline SbTe2Br at its relaxed geometry.

Cell lengths 11.6835, 4.2125, 6.1997 Å; angles 90.00, 98.89, 90.00 degrees
Element x y z (fractional)
Sb  0.0000  0.0000  0.0000
Sb  0.5000  0.5000  0.0000
Te  0.0474  0.5000  0.3522
Te  0.1887  0.5000  0.0124
Te  0.5474  0.0000  0.3522
Te  0.6887  0.0000  0.0124
Br  0.3641  0.0000  0.6866
Br  0.8641  0.5000  0.6866

Summary:
* density: 5.03 g/cm³
* DFT total energy: -3.13 eV/atom